1.
# Dy6PSe2S3

A relaxed structure of Dy6PSe2S3 (GGA-PBE, Alexandria).

Fermi-level density of states: 7.650 states/eV/cell
DFT total energy: -6.250 eV/atom
volume: 535.4 Å³ per cell

abc: 17.347 3.960 8.003
angles: 90.00 103.11 90.00
Space group C2/m (No. 12)
One atom of each set of equivalent atoms:
Dy  0.004  0.000  0.258 x4
Dy  0.160  0.500  0.098 x4
Dy  0.163  0.500  0.568 x4
P  0.000  0.500  0.500 x2
Se  0.168  0.000  0.837 x4
S  0.000  0.500  0.000 x2
S  0.169  0.000  0.336 x4


2.
# Dy4PSeS2

A relaxed structure of Dy4PSeS2 (GGA-PBE, Alexandria).

Fermi-level density of states: 2.613 states/eV/cell
DFT total energy: -6.330 eV/atom
volume: 178.0 Å³ per cell

abc: 6.847 3.963 6.946
angles: 90.00 109.22 90.00
Space group P2/m (No. 10)
One atom of each set of equivalent atoms:
Dy  0.241  0.000  0.231 x2
Dy  0.252  0.500  0.764 x2
P  0.500  0.000  0.000 x1
Se  0.500  0.500  0.500 x1
S  0.000  0.000  0.500 x1
S  0.000  0.500  0.000 x1


3.
# Dy8PSe3S3

A relaxed structure of Dy8PSe3S3 (GGA-PBE, Alexandria).

Fermi-level density of states: 21.850 states/eV/cell
DFT total energy: -6.081 eV/atom
volume: 1068.1 Å³ per cell

abc: 7.9130 7.9130 19.6965
angles: 90.00 90.00 120.00
Space group R-3m (No. 166, hexagonal axes)
One atom of each set of equivalent atoms:
Dy  0.0000  0.0000  0.2420 x6
Dy  0.0020  0.5010  0.2437 x18
P  0.0000  0.0000  0.5000 x3
Se  0.0000  0.5000  0.0000 x9
S  0.0000  0.5000  0.5000 x9


| no. | formation energy (no corrections) (meV/atom) |
| --- | --- |
| 1 | -1886 |
| 2 | -1885 |
| 3 | -1744 |